A PBEsol-optimized structure of W2BrCl. Source: Alexandria via LeMat-Bulk, functional meta-GGA SCAN.

Lattice parameters (Å, degrees): 4.0516 4.0516 7.8169 90.00 90.00 90.00
Positions (direct):
1 W 0.0000 0.5000 0.2500
2 W 0.0000 0.5000 0.7500
3 W 0.5000 0.0000 0.2500
4 W 0.5000 0.0000 0.7500
5 Br 0.0000 0.0000 0.0000
6 Br 0.5000 0.5000 0.5000
7 Cl 0.0000 0.0000 0.5000
8 Cl 0.5000 0.5000 0.0000

Total magnetic moment   0.0 μB/cell
Excess energy over the best structure of this formula in the dataset   1502.0 meV per atom
ΔE_f (raw)   1.8356 eV per atom